a | Density functional theory data (PBE-GGA) for a relaxed structure of Na7Sn2Pb2.

Summary:
DOS at the Fermi energy (states/eV/f.u.): 6.900

The structure in CIF format:
```
data_Na7Sn2Pb2
_chemical_formula_sum 'Na14 Sn4 Pb4'
_space_group_name_H-M_alt 'I m m 2'
_space_group_IT_number 44
_cell_length_a 3.339
_cell_length_b 18.652
_cell_length_c 10.853
_cell_angle_alpha 90.00
_cell_angle_beta 90.00
_cell_angle_gamma 90.00
loop_
_space_group_symop_operation_xyz
'x,y,z'
'-x,-y,z'
'-x,y,z'
'x,-y,z'
'x+1/2,y+1/2,z+1/2'
'-x+1/2,-y+1/2,z+1/2'
'-x+1/2,y+1/2,z+1/2'
'x+1/2,-y+1/2,z+1/2'
loop_
_atom_site_label
_atom_site_fract_x
_atom_site_fract_y
_atom_site_fract_z
Na1 0.000 0.000 0.000
Na2 0.000 0.092 0.464
Na3 0.000 0.334 0.685
Na4 0.000 0.350 0.259
Sn1 0.000 0.000 0.714
Sn2 0.000 0.500 0.754
Pb1 0.000 0.253 0.966
```


b | Density functional theory data (PBE-GGA) for a relaxed structure of Na7Sn2Pb2.

Summary:
DOS at the Fermi energy (states/eV/f.u.): 3.522

The structure in CIF format:
```
data_Na7Sn2Pb2
_chemical_formula_sum 'Na14 Sn4 Pb4'
_space_group_name_H-M_alt 'C 1 2/m 1'
_space_group_IT_number 12
_cell_length_a 8.711
_cell_length_b 9.739
_cell_length_c 8.394
_cell_angle_alpha 90.00
_cell_angle_beta 109.02
_cell_angle_gamma 90.00
loop_
_space_group_symop_operation_xyz
'x,y,z'
'-x,-y,-z'
'-x,y,-z'
'x,-y,z'
'x+1/2,y+1/2,z'
'-x+1/2,-y+1/2,-z'
'-x+1/2,y+1/2,-z'
'x+1/2,-y+1/2,z'
loop_
_atom_site_label
_atom_site_fract_x
_atom_site_fract_y
_atom_site_fract_z
Na1 0.000 0.000 0.000
Na2 0.176 0.000 0.445
Na3 0.193 0.311 0.174
Sn1 0.114 0.500 0.813
Pb1 0.000 0.296 0.500
```


b has the most favorable energy; the next structure is 40 meV/atom above.


a | Density functional theory data (PBE-GGA) for a relaxed structure of Na6SnPb2.

Summary:
DOS at the Fermi energy (states/eV/f.u.): 3.274

The structure in CIF format:
```
data_Na6SnPb2
_chemical_formula_sum 'Na12 Sn2 Pb4'
_space_group_name_H-M_alt 'C 1 2/m 1'
_space_group_IT_number 12
_cell_length_a 16.078
_cell_length_b 9.303
_cell_length_c 3.360
_cell_angle_alpha 90.00
_cell_angle_beta 90.02
_cell_angle_gamma 90.00
loop_
_space_group_symop_operation_xyz
'x,y,z'
'-x,-y,-z'
'-x,y,-z'
'x,-y,z'
'x+1/2,y+1/2,z'
'-x+1/2,-y+1/2,-z'
'-x+1/2,y+1/2,-z'
'x+1/2,-y+1/2,z'
loop_
_atom_site_label
_atom_site_fract_x
_atom_site_fract_y
_atom_site_fract_z
Na1 0.000 0.170 0.000
Na2 0.165 0.335 0.998
Sn1 0.000 0.500 0.500
Pb1 0.167 0.000 0.500
```


b | Density functional theory data (PBE-GGA) for a relaxed structure of Na6SnPb2.

Summary:
DOS at the Fermi energy (states/eV/f.u.): 2.891

The structure in CIF format:
```
data_Na6SnPb2
_chemical_formula_sum 'Na12 Sn2 Pb4'
_space_group_name_H-M_alt 'C 1 2/m 1'
_space_group_IT_number 12
_cell_length_a 14.986
_cell_length_b 6.648
_cell_length_c 5.767
_cell_angle_alpha 90.00
_cell_angle_beta 90.30
_cell_angle_gamma 90.00
loop_
_space_group_symop_operation_xyz
'x,y,z'
'-x,-y,-z'
'-x,y,-z'
'x,-y,z'
'x+1/2,y+1/2,z'
'-x+1/2,-y+1/2,-z'
'-x+1/2,y+1/2,-z'
'x+1/2,-y+1/2,z'
loop_
_atom_site_label
_atom_site_fract_x
_atom_site_fract_y
_atom_site_fract_z
Na1 0.101 0.245 0.105
Na2 0.205 0.500 0.603
Sn1 0.000 0.500 0.500
Pb1 0.095 0.000 0.610
```


a has the most favorable energy; the next structure is 64 meV/atom above.


a | Density functional theory data (PBE-GGA) for a relaxed structure of NaSn3Pb.

Summary:
DOS at the Fermi energy (states/eV/f.u.): 1.576

The structure in CIF format:
```
data_NaSn3Pb
_chemical_formula_sum 'Na4 Sn12 Pb4'
_space_group_name_H-M_alt 'C m m m'
_space_group_IT_number 65
_space_group_name_Hall '-C 2 2'
_cell_length_a 4.566
_cell_length_b 32.158
_cell_length_c 4.258
_cell_angle_alpha 90.00
_cell_angle_beta 90.00
_cell_angle_gamma 90.00
loop_
_atom_site_label
_atom_site_fract_x
_atom_site_fract_y
_atom_site_fract_z
Na1 0.000 0.182 0.000
Sn1 0.000 0.050 0.500
Sn2 0.000 0.278 0.500
Sn3 0.000 0.453 0.000
Pb1 0.000 0.377 0.500
```


b | Density functional theory data (PBE-GGA) for a relaxed structure of NaSn3Pb.

Summary:
DOS at the Fermi energy (states/eV/f.u.): 2.410

The structure in CIF format:
```
data_NaSn3Pb
_chemical_formula_sum 'Na4 Sn12 Pb4'
_space_group_name_H-M_alt 'P n n m'
_space_group_IT_number 58
_cell_length_a 7.642
_cell_length_b 7.770
_cell_length_c 10.003
_cell_angle_alpha 90.00
_cell_angle_beta 90.00
_cell_angle_gamma 90.00
loop_
_space_group_symop_operation_xyz
'x,y,z'
'-x,-y,-z'
'-x,-y,z'
'x,y,-z'
'x+1/2,-y+1/2,-z+1/2'
'-x+1/2,y+1/2,z+1/2'
'-x+1/2,y+1/2,-z+1/2'
'x+1/2,-y+1/2,z+1/2'
loop_
_atom_site_label
_atom_site_fract_x
_atom_site_fract_y
_atom_site_fract_z
Na1 0.139 0.190 0.000
Sn1 0.000 0.500 0.341
Sn2 0.140 0.864 0.254
Pb1 0.199 0.131 0.500
```


b has the most favorable energy; the next structure is 42 meV/atom above.


a | Density functional theory data (PBE-GGA) for a relaxed structure of NaSn6Pb2.

Summary:
DOS at the Fermi energy (states/eV/f.u.): 5.105

The structure in CIF format:
```
data_NaSn6Pb2
_chemical_formula_sum 'Na2 Sn12 Pb4'
_space_group_name_H-M_alt 'C 1 2/m 1'
_space_group_IT_number 12
_cell_length_a 12.139
_cell_length_b 7.016
_cell_length_c 6.290
_cell_angle_alpha 90.00
_cell_angle_beta 90.01
_cell_angle_gamma 90.00
loop_
_space_group_symop_operation_xyz
'x,y,z'
'-x,-y,-z'
'-x,y,-z'
'x,-y,z'
'x+1/2,y+1/2,z'
'-x+1/2,-y+1/2,-z'
'-x+1/2,y+1/2,-z'
'x+1/2,-y+1/2,z'
loop_
_atom_site_label
_atom_site_fract_x
_atom_site_fract_y
_atom_site_fract_z
Na1 0.000 0.000 0.000
Sn1 0.093 0.279 0.672
Sn2 0.186 0.000 0.329
Pb1 0.166 0.500 0.180
```


b | Density functional theory data (PBE-GGA) for a relaxed structure of NaSn6Pb2.

Summary:
DOS at the Fermi energy (states/eV/f.u.): 3.901

The structure in CIF format:
```
data_NaSn6Pb2
_chemical_formula_sum 'Na2 Sn12 Pb4'
_space_group_name_H-M_alt 'C m m m'
_space_group_IT_number 65
_space_group_name_Hall '-C 2 2'
_cell_length_a 9.490
_cell_length_b 16.483
_cell_length_c 3.266
_cell_angle_alpha 90.00
_cell_angle_beta 90.00
_cell_angle_gamma 90.00
loop_
_atom_site_label
_atom_site_fract_x
_atom_site_fract_y
_atom_site_fract_z
Na1 0.000 0.000 0.000
Sn1 0.165 0.500 0.500
Sn2 0.168 0.168 0.500
Pb1 0.000 0.333 0.000
```


b has the most favorable energy; the next structure is 101 meV/atom above.


a | Density functional theory data (PBE-GGA) for a relaxed structure of Na3SnPb2.

Summary:
DOS at the Fermi energy (states/eV/f.u.): 2.074

The structure in CIF format:
```
data_Na3SnPb2
_chemical_formula_sum 'Na24 Sn8 Pb16'
_space_group_name_H-M_alt 'F d d d'
_space_group_IT_number 70
_cell_length_a 7.057
_cell_length_b 9.067
_cell_length_c 21.283
_cell_angle_alpha 90.00
_cell_angle_beta 90.00
_cell_angle_gamma 90.00
loop_
_space_group_symop_operation_xyz
'x,y,z'
'-x,-y,-z'
'-x+1/4,-y+1/4,z'
'x+1/4,y+1/4,-z'
'x,-y+1/4,-z+1/4'
'-x,y+1/4,z+1/4'
'-x+1/4,y,-z+1/4'
'x+1/4,-y,z+1/4'
'x,y+1/2,z+1/2'
'-x,-y+1/2,-z+1/2'
'-x+1/4,-y+3/4,z+1/2'
'x+1/4,y+3/4,-z+1/2'
'x,-y+3/4,-z+3/4'
'-x,y+3/4,z+3/4'
'-x+1/4,y+1/2,-z+3/4'
'x+1/4,-y+1/2,z+3/4'
'x+1/2,y,z+1/2'
'-x+1/2,-y,-z+1/2'
'-x+3/4,-y+1/4,z+1/2'
'x+3/4,y+1/4,-z+1/2'
'x+1/2,-y+1/4,-z+3/4'
'-x+1/2,y+1/4,z+3/4'
'-x+3/4,y,-z+3/4'
'x+3/4,-y,z+3/4'
'x+1/2,y+1/2,z'
'-x+1/2,-y+1/2,-z'
'-x+3/4,-y+3/4,z'
'x+3/4,y+3/4,-z'
'x+1/2,-y+3/4,-z+1/4'
'-x+1/2,y+3/4,z+1/4'
'-x+3/4,y+1/2,-z+1/4'
'x+3/4,-y+1/2,z+1/4'
loop_
_atom_site_label
_atom_site_fract_x
_atom_site_fract_y
_atom_site_fract_z
Na1 0.125 0.125 0.125
Na2 0.125 0.125 0.459
Sn1 0.125 0.125 0.625
Pb1 0.125 0.125 0.294
```


b | Density functional theory data (PBE-GGA) for a relaxed structure of Na3SnPb2.

Summary:
DOS at the Fermi energy (states/eV/f.u.): 2.998

The structure in CIF format:
```
data_Na3SnPb2
_chemical_formula_sum 'Na12 Sn4 Pb8'
_space_group_name_H-M_alt 'C 1 2/m 1'
_space_group_IT_number 12
_cell_length_a 19.179
_cell_length_b 3.473
_cell_length_c 11.434
_cell_angle_alpha 90.00
_cell_angle_beta 106.91
_cell_angle_gamma 90.00
loop_
_space_group_symop_operation_xyz
'x,y,z'
'-x,-y,-z'
'-x,y,-z'
'x,-y,z'
'x+1/2,y+1/2,z'
'-x+1/2,-y+1/2,-z'
'-x+1/2,y+1/2,-z'
'x+1/2,-y+1/2,z'
loop_
_atom_site_label
_atom_site_fract_x
_atom_site_fract_y
_atom_site_fract_z
Na1 0.013 0.000 0.344
Na2 0.141 0.500 0.608
Na3 0.215 0.000 0.116
Sn1 0.064 0.500 0.130
Pb1 0.104 0.500 0.882
Pb2 0.186 0.000 0.383
```


a has the most favorable energy; the next structure is 91 meV/atom above.


a | Density functional theory data (PBE-GGA) for a relaxed structure of Na3Sn2Pb4.

Summary:
DOS at the Fermi energy (states/eV/f.u.): 2.892

The structure in CIF format:
```
data_Na3Sn2Pb4
_chemical_formula_sum 'Na12 Sn8 Pb16'
_space_group_name_H-M_alt 'C 1 2/c 1'
_space_group_IT_number 15
_cell_length_a 15.437
_cell_length_b 11.679
_cell_length_c 5.837
_cell_angle_alpha 90.00
_cell_angle_beta 99.23
_cell_angle_gamma 90.00
loop_
_space_group_symop_operation_xyz
'x,y,z'
'-x,-y,-z'
'-x,y,-z+1/2'
'x,-y,z+1/2'
'x+1/2,y+1/2,z'
'-x+1/2,-y+1/2,-z'
'-x+1/2,y+1/2,-z+1/2'
'x+1/2,-y+1/2,z+1/2'
loop_
_atom_site_label
_atom_site_fract_x
_atom_site_fract_y
_atom_site_fract_z
Na1 0.000 0.127 0.250
Na2 0.169 0.379 0.077
Sn1 0.221 0.135 0.373
Pb1 0.056 0.374 0.529
Pb2 0.114 0.120 0.809
```


b | Density functional theory data (PBE-GGA) for a relaxed structure of Na3Sn2Pb4.

Summary:
DOS at the Fermi energy (states/eV/f.u.): 3.054

The structure in CIF format:
```
data_Na3Sn2Pb4
_chemical_formula_sum 'Na12 Sn8 Pb16'
_space_group_name_H-M_alt 'C 1 2/c 1'
_space_group_IT_number 15
_cell_length_a 14.642
_cell_length_b 11.511
_cell_length_c 6.427
_cell_angle_alpha 90.00
_cell_angle_beta 94.56
_cell_angle_gamma 90.00
loop_
_space_group_symop_operation_xyz
'x,y,z'
'-x,-y,-z'
'-x,y,-z+1/2'
'x,-y,z+1/2'
'x+1/2,y+1/2,z'
'-x+1/2,-y+1/2,-z'
'-x+1/2,y+1/2,-z+1/2'
'x+1/2,-y+1/2,z+1/2'
loop_
_atom_site_label
_atom_site_fract_x
_atom_site_fract_y
_atom_site_fract_z
Na1 0.000 0.004 0.250
Na2 0.117 0.447 0.124
Sn1 0.210 0.091 0.519
Pb1 0.058 0.273 0.521
Pb2 0.159 0.172 0.018
```


a has the most favorable energy; the next structure is 28 meV/atom above.